1.
Material: AcPrSmMg
Method: DFT, PBE-GGA
State: relaxed

```
data_AcPrSmMg
_chemical_formula_sum 'Ac1 Pr1 Sm1 Mg1'
_symmetry_space_group_name_H-M 'P 1'
_symmetry_Int_Tables_number 1
_symmetry_space_group_name_Hall 'P 1'
_cell_length_a 3.877
_cell_length_b 3.877
_cell_length_c 9.138
_cell_angle_alpha 90.00
_cell_angle_beta 90.00
_cell_angle_gamma 90.00
loop_
_atom_site_label
_atom_site_fract_x
_atom_site_fract_y
_atom_site_fract_z
Ac1 0.000 0.000 0.075
Pr1 0.500 0.500 0.784
Sm1 0.500 0.500 0.359
Mg1 0.000 0.000 0.566
```

Computed properties:
Relative energy among the computed polymorphs = 0.000 eV per atom
Energy relative to the elements = -0.0356 eV per atom
Final energy = -3.836 eV/atom
Magnetization = 0.000 Bohr magnetons per cell
Space-group type = P4mm (99)


2.
Material: Be2AgPt2
Method: DFT, PBE-GGA
State: relaxed

```
data_Be2AgPt2
_chemical_formula_sum 'Be4 Ag2 Pt4'
_symmetry_space_group_name_H-M 'P 1'
_symmetry_Int_Tables_number 1
_symmetry_space_group_name_Hall 'P 1'
_cell_length_a 6.817
_cell_length_b 6.817
_cell_length_c 2.785
_cell_angle_alpha 90.00
_cell_angle_beta 90.00
_cell_angle_gamma 90.00
loop_
_atom_site_label
_atom_site_fract_x
_atom_site_fract_y
_atom_site_fract_z
Be1 0.366 0.866 0.000
Be2 0.866 0.634 0.000
Be3 0.634 0.134 0.000
Be4 0.134 0.366 0.000
Ag1 0.000 0.000 0.000
Ag2 0.500 0.500 0.000
Pt1 0.156 0.656 0.500
Pt2 0.656 0.844 0.500
Pt3 0.844 0.344 0.500
Pt4 0.344 0.156 0.500
```

Computed properties:
Relative energy among the computed polymorphs = 0.000 eV per atom
Energy relative to the elements = -0.5045 eV per atom
Final energy = -4.982 eV/atom
Magnetization = 0.000 Bohr magnetons per cell
Space-group type = P4/mbm (127)